PaGa4Co3O12: relaxed, PBE+U.

Properties
Crystal system: cubic
DFT total energy: -6.49 eV/atom

The structure in CIF format:
```
data_PaGa4Co3O12
_cell_length_a 7.4023
_cell_length_b 7.4023
_cell_length_c 7.4023
_cell_angle_alpha 90.00
_cell_angle_beta 90.00
_cell_angle_gamma 90.00
_symmetry_space_group_name_H-M 'I m -3'
_symmetry_Int_Tables_number 204
_symmetry_space_group_name_Hall '-I 2 2 3'
loop_
_atom_site_label
_atom_site_fract_x
_atom_site_fract_y
_atom_site_fract_z
Pa1 0.0000 0.0000 0.0000
Ga1 0.2500 0.2500 0.2500
Co1 0.0000 0.0000 0.5000
O1 0.0000 0.2993 0.1675
```